Material: CoRu3O
Method: DFT, GGA+U
State: optimized geometry

Cell and atoms, written as POSCAR:
```
CoRu3O
1.0
4.4702 0.0000 0.0000
0.0000 4.4702 0.0000
0.0000 0.0000 4.4702
Co Ru O
1 3 1
Direct
0.0000 0.0000 0.0000
0.0000 0.0000 0.5000
0.0000 0.5000 0.0000
0.5000 0.0000 0.0000
0.5000 0.5000 0.5000
```

Summary:
Space-group type   Pm-3m
Energy above the most stable polymorph in this dataset   155.3 kJ/mol of atoms
Total energy   -5.503 eV per atom
Magnetization   9.098 μB/f.u.